No. 1
First-principles (GGA-PBE) data for a relaxed structure of SrLiPa4N8, as listed in Alexandria via LeMat-Bulk.

```
data_SrLiPa4N8
_space_group_name_H-M_alt 'R 3 m'
_space_group_IT_number 160
_space_group_name_Hall 'R 3 -2"'
_cell_length_a 7.1512
_cell_length_b 7.1512
_cell_length_c 16.0909
_cell_angle_alpha 90.00
_cell_angle_beta 90.00
_cell_angle_gamma 120.00
loop_
_atom_site_label
_atom_site_fract_x
_atom_site_fract_y
_atom_site_fract_z
Sr1 0.0000 0.0000 0.0000
Li1 0.0000 0.0000 0.3709
Pa1 0.0000 0.0000 0.7693
Pa2 0.0091 0.5045 0.8867
N1 0.0000 0.0000 0.1536
N2 0.0000 0.0000 0.6310
N3 0.1689 0.3378 0.4851
N4 0.1927 0.3853 0.9543
```

* calculated density: 7.90 g/cm3
* size of the total moment: 0.000 μB/atom
* VASP energy: -8.985 eV per atom
* E_form (uncorrected): -1257.5 meV per atom

---

No. 2
First-principles (GGA-PBE) data for a relaxed structure of Li3PaTa2N6, as listed in Alexandria via LeMat-Bulk.

```
data_Li3PaTa2N6
_space_group_name_H-M_alt 'C 1 2/m 1'
_space_group_IT_number 12
_space_group_name_Hall '-C 2y'
_cell_length_a 14.1612
_cell_length_b 3.2047
_cell_length_c 6.2816
_cell_angle_alpha 90.00
_cell_angle_beta 100.88
_cell_angle_gamma 90.00
loop_
_atom_site_label
_atom_site_fract_x
_atom_site_fract_y
_atom_site_fract_z
Li1 0.0000 0.0000 0.0000
Li2 0.1846 0.5000 0.3404
Pa1 0.0000 0.0000 0.5000
Ta1 0.1686 0.5000 0.8500
N1 0.0202 0.5000 0.7590
N2 0.1622 0.0000 0.6189
N3 0.1781 0.0000 0.0769
```

* calculated density: 8.28 g/cm3
* size of the total moment: 0.000 μB/atom
* VASP energy: -8.505 eV per atom
* E_form (uncorrected): -1097.1 meV per atom

---

No. 3
First-principles (GGA-PBE) data for a relaxed structure of Li4PaTa3N8, as listed in Alexandria via LeMat-Bulk.

```
data_Li4PaTa3N8
_space_group_name_H-M_alt 'R -3 m'
_space_group_IT_number 166
_space_group_name_Hall '-R 3 2"'
_cell_length_a 6.4312
_cell_length_b 6.4312
_cell_length_c 15.2903
_cell_angle_alpha 90.00
_cell_angle_beta 90.00
_cell_angle_gamma 120.00
loop_
_atom_site_label
_atom_site_fract_x
_atom_site_fract_y
_atom_site_fract_z
Li1 0.0000 0.0000 0.0000
Li2 0.0000 0.5000 0.0000
Pa1 0.0000 0.0000 0.5000
Ta1 0.0000 0.5000 0.5000
N1 0.0000 0.0000 0.2402
N2 0.0177 0.5088 0.7621
```

* calculated density: 8.31 g/cm3
* size of the total moment: 0.000 μB/atom
* VASP energy: -8.525 eV per atom
* E_form (uncorrected): -1067.8 meV per atom

---

No. 4
First-principles (GGA-PBE) data for a relaxed structure of Li2Pa2TaN6, as listed in Alexandria via LeMat-Bulk.

```
data_Li2Pa2TaN6
_space_group_name_H-M_alt 'C 1 2/m 1'
_space_group_IT_number 12
_space_group_name_Hall '-C 2y'
_cell_length_a 5.9294
_cell_length_b 10.2534
_cell_length_c 5.2878
_cell_angle_alpha 90.00
_cell_angle_beta 107.11
_cell_angle_gamma 90.00
loop_
_atom_site_label
_atom_site_fract_x
_atom_site_fract_y
_atom_site_fract_z
Li1 0.0000 0.1352 0.0000
Pa1 0.0000 0.3353 0.5000
Ta1 0.0000 0.0000 0.5000
N1 0.2057 0.1616 0.7010
N2 0.2478 0.0000 0.2914
```

* calculated density: 8.01 g/cm3
* size of the total moment: 0.000 μB/atom
* VASP energy: -8.735 eV per atom
* E_form (uncorrected): -1041.4 meV per atom

---

No. 5
First-principles (GGA-PBE) data for a relaxed structure of LiPa2Ta3N6, as listed in Alexandria via LeMat-Bulk.

```
data_LiPa2Ta3N6
_space_group_name_H-M_alt 'C 1 2/m 1'
_space_group_IT_number 12
_space_group_name_Hall '-C 2y'
_cell_length_a 14.1750
_cell_length_b 3.2448
_cell_length_c 6.5216
_cell_angle_alpha 90.00
_cell_angle_beta 105.25
_cell_angle_gamma 90.00
loop_
_atom_site_label
_atom_site_fract_x
_atom_site_fract_y
_atom_site_fract_z
Li1 0.0000 0.0000 0.0000
Pa1 0.1608 0.5000 0.3214
Ta1 0.0000 0.0000 0.5000
Ta2 0.1614 0.5000 0.8204
N1 0.0055 0.5000 0.7384
N2 0.1599 0.0000 0.5959
N3 0.1660 0.0000 0.0574
```

* calculated density: 12.58 g/cm3
* size of the total moment: 0.000 μB/atom
* VASP energy: -10.157 eV per atom
* E_form (uncorrected): -1289.5 meV per atom

---

No. 6
First-principles (GGA-PBE) data for a relaxed structure of LiPaTaN3, as listed in Alexandria via LeMat-Bulk.

```
data_LiPaTaN3
_space_group_name_H-M_alt 'P 1 21/m 1'
_space_group_IT_number 11
_space_group_name_Hall '-P 2yb'
_cell_length_a 6.6282
_cell_length_b 3.1955
_cell_length_c 6.8042
_cell_angle_alpha 90.00
_cell_angle_beta 105.10
_cell_angle_gamma 90.00
loop_
_atom_site_label
_atom_site_fract_x
_atom_site_fract_y
_atom_site_fract_z
Li1 0.0880 0.2500 0.0885
Pa1 0.2000 0.2500 0.7319
Ta1 0.3337 0.7500 0.3357
N1 0.1123 0.2500 0.3681
N2 0.2188 0.7500 0.0057
N3 0.4448 0.7500 0.6716
```

* calculated density: 11.00 g/cm3
* size of the total moment: 0.000 μB/atom
* VASP energy: -9.134 eV per atom
* E_form (uncorrected): -1093.8 meV per atom

---

No. 7
First-principles (GGA-PBE) data for a relaxed structure of LiPa2TaN4, as listed in Alexandria via LeMat-Bulk.

```
data_LiPa2TaN4
_space_group_name_H-M_alt 'P 1 2/m 1'
_space_group_IT_number 10
_space_group_name_Hall '-P 2y'
_cell_length_a 5.6059
_cell_length_b 3.3727
_cell_length_c 5.8227
_cell_angle_alpha 90.00
_cell_angle_beta 110.56
_cell_angle_gamma 90.00
loop_
_atom_site_label
_atom_site_fract_x
_atom_site_fract_y
_atom_site_fract_z
Li1 0.0000 0.0000 0.0000
Pa1 0.5000 0.0000 0.5000
Pa2 0.5000 0.5000 0.0000
Ta1 0.0000 0.5000 0.5000
N1 0.2261 0.0000 0.7398
N2 0.2424 0.5000 0.2656
```

* calculated density: 11.37 g/cm3
* size of the total moment: 0.000 μB/atom
* VASP energy: -9.486 eV per atom
* E_form (uncorrected): -1228.8 meV per atom

---

No. 8
First-principles (GGA-PBE) data for a relaxed structure of LiPa2TaN5, as listed in Alexandria via LeMat-Bulk.

```
data_LiPa2TaN5
_space_group_name_H-M_alt 'C m c 21'
_space_group_IT_number 36
_space_group_name_Hall 'C 2c -2'
_cell_length_a 3.2744
_cell_length_b 13.0746
_cell_length_c 10.0348
_cell_angle_alpha 90.00
_cell_angle_beta 90.00
_cell_angle_gamma 90.00
loop_
_atom_site_label
_atom_site_fract_x
_atom_site_fract_y
_atom_site_fract_z
Li1 0.0000 0.0208 0.0000
Pa1 0.0000 0.3656 0.8346
Pa2 0.0000 0.3914 0.2095
Ta1 0.0000 0.3070 0.5373
N1 0.0000 0.0092 0.3061
N2 0.0000 0.1423 0.5369
N3 0.0000 0.1906 0.8980
N4 0.0000 0.2138 0.1892
N5 0.0000 0.4497 0.5971
```

* calculated density: 11.13 g/cm3
* size of the total moment: 0.000 μB/atom
* VASP energy: -9.531 eV per atom
* E_form (uncorrected): -1265.7 meV per atom

---

No. 9
First-principles (GGA-PBE) data for a relaxed structure of Li4Pa3TaN8, as listed in Alexandria via LeMat-Bulk.

```
data_Li4Pa3TaN8
_space_group_name_H-M_alt 'R -3 m'
_space_group_IT_number 166
_space_group_name_Hall '-R 3 2"'
_cell_length_a 6.8816
_cell_length_b 6.8816
_cell_length_c 15.2429
_cell_angle_alpha 90.00
_cell_angle_beta 90.00
_cell_angle_gamma 120.00
loop_
_atom_site_label
_atom_site_fract_x
_atom_site_fract_y
_atom_site_fract_z
Li1 0.0000 0.0000 0.0000
Li2 0.0000 0.5000 0.0000
Pa1 0.0000 0.5000 0.5000
Ta1 0.0000 0.0000 0.5000
N1 0.0000 0.0000 0.2368
N2 0.0172 0.5086 0.2369
```

* calculated density: 8.08 g/cm3
* size of the total moment: 0.000 μB/atom
* VASP energy: -8.357 eV per atom
* E_form (uncorrected): -1194.9 meV per atom

---

No. 10
First-principles (GGA-PBE) data for a relaxed structure of LiPa2TaN6, as listed in Alexandria via LeMat-Bulk.

```
data_LiPa2TaN6
_space_group_name_H-M_alt 'R 3'
_space_group_IT_number 146
_space_group_name_Hall 'R 3'
_cell_length_a 5.6426
_cell_length_b 5.6426
_cell_length_c 14.9653
_cell_angle_alpha 90.00
_cell_angle_beta 90.00
_cell_angle_gamma 120.00
loop_
_atom_site_label
_atom_site_fract_x
_atom_site_fract_y
_atom_site_fract_z
Li1 0.0000 0.0000 0.0000
Pa1 0.0000 0.0000 0.2175
Pa2 0.0000 0.0000 0.7189
Ta1 0.0000 0.0000 0.5062
N1 0.0093 0.6395 0.7845
N2 0.0602 0.3861 0.2752
```

* calculated density: 8.86 g/cm3
* size of the total moment: 0.000 μB/atom
* VASP energy: -9.273 eV per atom
* E_form (uncorrected): -1001.7 meV per atom

---

No. 11
First-principles (GGA-PBE) data for a relaxed structure of Li3Pa3TaN8, as listed in Alexandria via LeMat-Bulk.

```
data_Li3Pa3TaN8
_space_group_name_H-M_alt 'R -3 m'
_space_group_IT_number 166
_space_group_name_Hall '-R 3 2"'
_cell_length_a 6.9186
_cell_length_b 6.9186
_cell_length_c 14.8543
_cell_angle_alpha 90.00
_cell_angle_beta 90.00
_cell_angle_gamma 120.00
loop_
_atom_site_label
_atom_site_fract_x
_atom_site_fract_y
_atom_site_fract_z
Li1 0.0000 0.5000 0.0000
Pa1 0.0000 0.5000 0.5000
Ta1 0.0000 0.0000 0.5000
N1 0.0000 0.0000 0.2373
N2 0.0220 0.5110 0.2359
```

* calculated density: 8.15 g/cm3
* size of the total moment: 0.000 μB/atom
* VASP energy: -8.634 eV per atom
* E_form (uncorrected): -1121.3 meV per atom

---

No. 12
First-principles (GGA-PBE) data for a relaxed structure of Li2Tb2PaN4, as listed in Alexandria via LeMat-Bulk.

```
data_Li2Tb2PaN4
_space_group_name_H-M_alt 'C 1 2/m 1'
_space_group_IT_number 12
_space_group_name_Hall '-C 2y'
_cell_length_a 12.1943
_cell_length_b 3.3933
_cell_length_c 5.9332
_cell_angle_alpha 90.00
_cell_angle_beta 109.27
_cell_angle_gamma 90.00
loop_
_atom_site_label
_atom_site_fract_x
_atom_site_fract_y
_atom_site_fract_z
Li1 0.1893 0.0000 0.0015
Tb1 0.1418 0.5000 0.5659
Pa1 0.0000 0.5000 0.0000
N1 0.0306 0.0000 0.7608
N2 0.2096 0.5000 0.2282
```

* calculated density: 8.87 g/cm3
* size of the total moment: 0.000 μB/atom
* VASP energy: -7.283 eV per atom
* E_form (uncorrected): -1073.1 meV per atom

---

No. 13
First-principles (GGA-PBE) data for a relaxed structure of LiTb3Pa2N6, as listed in Alexandria via LeMat-Bulk.

```
data_LiTb3Pa2N6
_space_group_name_H-M_alt 'C 1 2/m 1'
_space_group_IT_number 12
_space_group_name_Hall '-C 2y'
_cell_length_a 6.0045
_cell_length_b 10.3892
_cell_length_c 6.0366
_cell_angle_alpha 90.00
_cell_angle_beta 109.23
_cell_angle_gamma 90.00
loop_
_atom_site_label
_atom_site_fract_x
_atom_site_fract_y
_atom_site_fract_z
Li1 0.0000 0.0000 0.0000
Tb1 0.0000 0.1621 0.5000
Tb2 0.0000 0.5000 0.5000
Pa1 0.0000 0.3328 0.0000
N1 0.2247 0.5000 0.2419
N2 0.2409 0.3212 0.7607
```

* calculated density: 9.62 g/cm3
* size of the total moment: 0.000 μB/atom
* VASP energy: -8.579 eV per atom
* E_form (uncorrected): -1516.6 meV per atom

---

No. 14
First-principles (GGA-PBE) data for a relaxed structure of LiTb2PaN4, as listed in Alexandria via LeMat-Bulk.

```
data_LiTb2PaN4
_space_group_name_H-M_alt 'C m c m'
_space_group_IT_number 63
_space_group_name_Hall '-C 2c 2'
_cell_length_a 3.3719
_cell_length_b 11.2109
_cell_length_c 11.5457
_cell_angle_alpha 90.00
_cell_angle_beta 90.00
_cell_angle_gamma 90.00
loop_
_atom_site_label
_atom_site_fract_x
_atom_site_fract_y
_atom_site_fract_z
Li1 0.0000 0.1514 0.2500
Tb1 0.0000 0.3703 0.5542
Pa1 0.0000 0.1156 0.7500
N1 0.0000 0.0000 0.0000
N2 0.0000 0.2795 0.1312
N3 0.0000 0.4730 0.7500
```

* calculated density: 9.31 g/cm3
* size of the total moment: 0.000 μB/atom
* VASP energy: -8.112 eV per atom
* E_form (uncorrected): -1365.5 meV per atom

---

No. 15
First-principles (GGA-PBE) data for a relaxed structure of LiPa2TcN4, as listed in Alexandria via LeMat-Bulk.

```
data_LiPa2TcN4
_space_group_name_H-M_alt 'P 1 2/m 1'
_space_group_IT_number 10
_space_group_name_Hall '-P 2y'
_cell_length_a 5.0752
_cell_length_b 3.5378
_cell_length_c 6.0211
_cell_angle_alpha 90.00
_cell_angle_beta 113.83
_cell_angle_gamma 90.00
loop_
_atom_site_label
_atom_site_fract_x
_atom_site_fract_y
_atom_site_fract_z
Li1 0.0000 0.0000 0.0000
Pa1 0.5000 0.0000 0.5000
Pa2 0.5000 0.5000 0.0000
Tc1 0.0000 0.5000 0.5000
N1 0.2388 0.0000 0.7461
N2 0.2545 0.5000 0.2529
```

* calculated density: 10.46 g/cm3
* size of the total moment: 0.000 μB/atom
* VASP energy: -9.191 eV per atom
* E_form (uncorrected): -1119.6 meV per atom

---

No. 16
First-principles (GGA-PBE) data for a relaxed structure of LiPaTcN4, as listed in Alexandria via LeMat-Bulk.

```
data_LiPaTcN4
_space_group_name_H-M_alt 'C m c m'
_space_group_IT_number 63
_space_group_name_Hall '-C 2c 2'
_cell_length_a 5.6771
_cell_length_b 11.5738
_cell_length_c 5.2643
_cell_angle_alpha 90.00
_cell_angle_beta 90.00
_cell_angle_gamma 90.00
loop_
_atom_site_label
_atom_site_fract_x
_atom_site_fract_y
_atom_site_fract_z
Li1 0.0000 0.1041 0.2500
Pa1 0.0000 0.3862 0.2500
Tc1 0.0000 0.2204 0.7500
N1 0.0000 0.0671 0.7500
N2 0.0000 0.4375 0.7500
N3 0.2500 0.2500 0.0000
```

* calculated density: 7.53 g/cm3
* size of the total moment: 0.000 μB/atom
* VASP energy: -8.358 eV per atom
* E_form (uncorrected): -489.9 meV per atom

---

No. 17
First-principles (GGA-PBE) data for a relaxed structure of Li3Pa3TcN8, as listed in Alexandria via LeMat-Bulk.

```
data_Li3Pa3TcN8
_space_group_name_H-M_alt 'R -3 m'
_space_group_IT_number 166
_space_group_name_Hall '-R 3 2"'
_cell_length_a 6.8215
_cell_length_b 6.8215
_cell_length_c 15.0049
_cell_angle_alpha 90.00
_cell_angle_beta 90.00
_cell_angle_gamma 120.00
loop_
_atom_site_label
_atom_site_fract_x
_atom_site_fract_y
_atom_site_fract_z
Li1 0.0000 0.5000 0.0000
Pa1 0.0000 0.5000 0.5000
Tc1 0.0000 0.0000 0.5000
N1 0.0000 0.0000 0.2403
N2 0.0254 0.5127 0.2352
```

* calculated density: 7.61 g/cm3
* size of the total moment: 0.069 μB/atom
* VASP energy: -8.305 eV per atom
* E_form (uncorrected): -892.0 meV per atom

---

No. 18
First-principles (GGA-PBE) data for a relaxed structure of LiPa2TcN6, as listed in Alexandria via LeMat-Bulk.

```
data_LiPa2TcN6
_space_group_name_H-M_alt 'R 3'
_space_group_IT_number 146
_space_group_name_Hall 'R 3'
_cell_length_a 5.6235
_cell_length_b 5.6235
_cell_length_c 14.6708
_cell_angle_alpha 90.00
_cell_angle_beta 90.00
_cell_angle_gamma 120.00
loop_
_atom_site_label
_atom_site_fract_x
_atom_site_fract_y
_atom_site_fract_z
Li1 0.0000 0.0000 0.0000
Pa1 0.0000 0.0000 0.2705
Pa2 0.0000 0.0000 0.7609
Tc1 0.0000 0.0000 0.4810
N1 0.0117 0.3901 0.1982
N2 0.0507 0.6684 0.0391
```

* calculated density: 8.07 g/cm3
* size of the total moment: 0.000 μB/atom
* VASP energy: -8.942 eV per atom
* E_form (uncorrected): -819.7 meV per atom

---

No. 19
First-principles (GGA-PBE) data for a relaxed structure of Li2PaTc2N4, as listed in Alexandria via LeMat-Bulk.

```
data_Li2PaTc2N4
_space_group_name_H-M_alt 'C 1 2/m 1'
_space_group_IT_number 12
_space_group_name_Hall '-C 2y'
_cell_length_a 9.8721
_cell_length_b 3.2688
_cell_length_c 7.8828
_cell_angle_alpha 90.00
_cell_angle_beta 117.62
_cell_angle_gamma 90.00
loop_
_atom_site_label
_atom_site_fract_x
_atom_site_fract_y
_atom_site_fract_z
Li1 0.1504 0.0000 0.2412
Pa1 0.0000 0.0000 0.5000
Tc1 0.1374 0.5000 0.9094
N1 0.0633 0.5000 0.3531
N2 0.2092 0.0000 0.8074
```

* calculated density: 7.32 g/cm3
* size of the total moment: 0.000 μB/atom
* VASP energy: -8.107 eV per atom
* E_form (uncorrected): -623.1 meV per atom

---

No. 20
First-principles (GGA-PBE) data for a relaxed structure of LiPaTc2N6, as listed in Alexandria via LeMat-Bulk.

```
data_LiPaTc2N6
_space_group_name_H-M_alt 'C 1 2/c 1'
_space_group_IT_number 15
_space_group_name_Hall '-C 2yc'
_cell_length_a 9.9849
_cell_length_b 10.1596
_cell_length_c 6.1930
_cell_angle_alpha 90.00
_cell_angle_beta 112.09
_cell_angle_gamma 90.00
loop_
_atom_site_label
_atom_site_fract_x
_atom_site_fract_y
_atom_site_fract_z
Li1 0.0000 0.2286 0.2500
Pa1 0.0000 0.0976 0.7500
Tc1 0.1863 0.4169 0.7383
N1 0.1061 0.0800 0.1382
N2 0.1233 0.2581 0.6307
N3 0.1548 0.4554 0.0083
```

* calculated density: 5.91 g/cm3
* size of the total moment: 0.000 μB/atom
* VASP energy: -8.569 eV per atom
* E_form (uncorrected): -359.1 meV per atom